Compound: CuHg2As
Source: Alexandria via LeMat-Bulk
Functional: PBE
Structure: optimized geometry

POSCAR file:
```
CuHg2As
1.0
2.922 0.000 0.000
0.000 5.452 0.000
0.000 0.000 10.213
Cu Hg As
2 4 2
Direct
0.000 0.000 0.000
0.500 0.500 0.500
0.000 0.500 0.277
0.000 0.500 0.723
0.500 0.000 0.223
0.500 0.000 0.777
0.000 0.000 0.500
0.500 0.500 0.000
```

- Formation enthalpy at 0 K: 0.323 eV per atom
- Volume: 81 Å³/f.u.

Compound: Nd8Ge4Br3
Source: Alexandria via LeMat-Bulk
Functional: PBE
Structure: optimized geometry

POSCAR file:
```
Nd8Ge4Br3
1.0
6.033 -6.072 0.000
6.033 6.072 0.000
-5.979 0.000 6.044
Nd Ge Br
8 4 3
Direct
0.240 0.760 0.000
0.245 0.245 0.489
0.247 0.247 0.015
0.256 0.744 0.500
0.744 0.256 0.500
0.753 0.753 0.985
0.755 0.755 0.511
0.760 0.240 0.000
0.000 0.000 0.000
0.000 0.500 0.500
0.500 0.000 0.500
0.500 0.500 0.500
0.000 0.500 0.000
0.500 0.000 0.000
0.500 0.500 0.000
```

- Volume: 443 Å³/f.u.
- Energy relative to the elements, uncorrected: -0.98 eV/atom

Compound: Ac2TbPr5
Source: Alexandria via LeMat-Bulk
Functional: PBE
Structure: optimized geometry

POSCAR file:
```
Ac2TbPr5
1.0
7.507 0.000 0.000
0.000 15.043 0.000
0.000 0.000 5.321
Ac Tb Pr
4 2 10
Direct
0.248 0.124 0.000
0.252 0.624 0.000
0.748 0.376 0.000
0.752 0.876 0.000
0.000 0.000 0.500
0.500 0.500 0.500
0.000 0.500 0.500
0.002 0.751 0.500
0.249 0.376 0.000
0.251 0.876 0.000
0.498 0.251 0.500
0.500 0.000 0.500
0.502 0.749 0.500
0.749 0.124 0.000
0.751 0.624 0.000
0.998 0.249 0.500
```

- Formation enthalpy at 0 K: 0.023 eV per atom
- Volume: 300 Å³/f.u.
- Energy relative to the lowest polymorph listed for this composition: 0 meV/atom

Compound: Ho4AsSe2Cl
Source: Alexandria via LeMat-Bulk
Functional: PBE
Structure: optimized geometry

POSCAR file:
```
Ho4AsSe2Cl
1.0
7.005 0.000 0.000
0.000 4.078 0.000
-2.370 0.000 6.635
Ho As Se Cl
4 1 2 1
Direct
0.225 0.000 0.234
0.231 0.500 0.751
0.769 0.500 0.249
0.775 0.000 0.766
0.000 0.000 0.500
0.000 0.500 0.000
0.500 0.000 0.000
0.500 0.500 0.500
```

- Volume: 190 Å³/f.u.
- Energy relative to the elements, uncorrected: -1.55 eV/atom

Compound: MgWBr2
Source: Alexandria via LeMat-Bulk
Functional: PBE
Structure: optimized geometry

POSCAR file:
```
MgWBr2
1.0
3.182 0.000 0.000
0.000 3.182 0.000
0.000 0.000 8.826
Mg W Br
1 1 2
Direct
0.000 0.000 0.000
0.500 0.500 0.243
0.000 0.000 0.407
0.500 0.500 0.815
```

- Volume: 89 Å³/f.u.
- Energy relative to the elements, uncorrected: 0.12 eV/atom
- Energy relative to the lowest polymorph listed for this composition: 165 meV/atom

Compound: Sr4HgCl
Source: Alexandria via LeMat-Bulk
Functional: PBE
Structure: optimized geometry

POSCAR file:
```
Sr4HgCl
1.0
0.000 5.414 5.414
5.414 0.000 5.414
5.414 5.414 0.000
Sr Hg Cl
4 1 1
Direct
0.376 0.376 0.376
0.376 0.376 0.873
0.376 0.873 0.376
0.873 0.376 0.376
0.750 0.750 0.750
0.000 0.000 0.000
```

- Volume: 317 Å³/f.u.
- Energy relative to the elements, uncorrected: 0.05 eV/atom

Compound: CrMo2Au
Source: Alexandria via LeMat-Bulk
Functional: PBE
Structure: optimized geometry

POSCAR file:
```
CrMo2Au
1.0
2.746 0.000 0.000
0.000 4.063 0.000
-0.751 0.000 5.539
Cr Mo Au
1 2 1
Direct
0.000 0.000 0.000
0.425 0.500 0.217
0.575 0.500 0.783
0.000 0.000 0.500
```

- Formation enthalpy at 0 K: 0.245 eV per atom
- Volume: 62 Å³/f.u.
- Energy relative to the lowest polymorph listed for this composition: 32 meV/atom

Compound: Ca6HgAu
Source: Alexandria via LeMat-Bulk
Functional: PBE
Structure: optimized geometry

POSCAR file:
```
Ca6HgAu
1.0
5.341 0.000 0.000
0.000 5.341 0.000
0.000 0.000 18.851
Ca Hg Au
12 2 2
Direct
0.000 0.000 0.249
0.000 0.000 0.751
0.000 0.500 0.094
0.000 0.500 0.406
0.000 0.500 0.594
0.000 0.500 0.906
0.500 0.000 0.094
0.500 0.000 0.406
0.500 0.000 0.594
0.500 0.000 0.906
0.500 0.500 0.251
0.500 0.500 0.749
0.000 0.000 0.000
0.500 0.500 0.500
0.000 0.000 0.500
0.500 0.500 0.000
```

- Formation enthalpy at 0 K: -0.344 eV per atom
- Volume: 269 Å³/f.u.

How do the records compare in total energy? In the order shown, they have -8.059; -76.393; -36.562; -44.154; -17.404; -8.558; -33.584; -18.344 eV/f.u..
How do the records compare in spin magnetization? In the order shown, they have 0.000; 0.000; 0.000; 0.000; 0.000; 0.001; 0.000; 0.000 μB/cell.